(1)
A plane-wave DFT calculation with PBE-GGA was carried out for a relaxed AcSmHgRh crystal.

Properties
Energy above the lowest structure with this stoichiometry   0.39 eV/f.u.
D(E_F)   2.29 states/eV per cell
Energy   -18.33 eV per formula unit

a b c (Å): 5.334 5.334 5.334
angles (deg): 60.00 60.00 60.00
Positions (direct):
Ac (0.000, 0.000, 0.000)
Sm (0.500, 0.500, 0.500)
Hg (0.750, 0.750, 0.750)
Rh (0.250, 0.250, 0.250)


(2)
A plane-wave DFT calculation with PBE-GGA was carried out for a relaxed ReBi2AsOs crystal.

Properties
D(E_F)   3.17 states/eV per cell
Energy   -26.63 eV per formula unit

a b c (Å): 5.496 5.496 4.482
angles (deg): 90.00 90.00 90.00
Positions (direct):
Re (0.000, 0.000, 0.000)
Bi (0.000, 0.500, 0.500)
Bi (0.500, 0.000, 0.500)
As (0.500, 0.500, 0.500)
Os (0.500, 0.500, 0.000)


(3)
A plane-wave DFT calculation with PBE-GGA was carried out for a relaxed Tb5NdAl6 crystal.

Properties
D(E_F)   4.49 states/eV per cell
Energy   -55.03 eV per formula unit

a b c (Å): 8.120 8.120 7.293
angles (deg): 90.00 90.00 143.18
Positions (direct):
Tb (0.000, 0.000, 0.000)
Tb (0.333, 0.667, 0.500)
Tb (0.335, 0.665, 0.000)
Tb (0.665, 0.335, 0.000)
Tb (0.667, 0.333, 0.500)
Nd (0.000, 0.000, 0.500)
Al (0.169, 0.831, 0.245)
Al (0.169, 0.831, 0.755)
Al (0.500, 0.500, 0.246)
Al (0.500, 0.500, 0.754)
Al (0.831, 0.169, 0.245)
Al (0.831, 0.169, 0.755)


(4)
A plane-wave DFT calculation with PBE-GGA was carried out for a relaxed Na3Pa4O12 crystal.

Properties
Formation energy (no corrections)   -3.063 eV/atom
D(E_F)   14.95 states/eV per cell
Energy   -159.63 eV per formula unit

a b c (Å): 7.304 7.304 7.304
angles (deg): 109.47 109.47 109.47
Positions (direct):
Na (0.000, 0.500, 0.500)
Na (0.500, 0.000, 0.500)
Na (0.500, 0.500, 0.000)
Pa (0.000, 0.000, 0.500)
Pa (0.000, 0.500, 0.000)
Pa (0.500, 0.000, 0.000)
Pa (0.500, 0.500, 0.500)
O (0.090, 0.793, 0.297)
O (0.207, 0.297, 0.505)
O (0.207, 0.703, 0.910)
O (0.297, 0.090, 0.793)
O (0.297, 0.505, 0.207)
O (0.495, 0.793, 0.703)
O (0.505, 0.207, 0.297)
O (0.703, 0.495, 0.793)
O (0.703, 0.910, 0.207)
O (0.793, 0.297, 0.090)
O (0.793, 0.703, 0.495)
O (0.910, 0.207, 0.703)


(5)
A plane-wave DFT calculation with PBE-GGA was carried out for a relaxed CdSiMo2 crystal.

Properties
Energy above the lowest structure with this stoichiometry   1.22 eV/f.u.
Formation energy (no corrections)   0.438 eV/atom
D(E_F)   3.93 states/eV per cell
Energy   -26.25 eV per formula unit

a b c (Å): 4.476 4.476 4.476
angles (deg): 60.00 60.00 60.00
Positions (direct):
Cd (0.000, 0.000, 0.000)
Si (0.500, 0.500, 0.500)
Mo (0.250, 0.250, 0.250)
Mo (0.750, 0.750, 0.750)


(6)
A plane-wave DFT calculation with PBE-GGA was carried out for a relaxed MnIn2Co crystal.

Properties
D(E_F)   2.40 states/eV per cell
Energy   -21.04 eV per formula unit

a b c (Å): 3.082 3.082 6.924
angles (deg): 90.00 90.00 90.00
Positions (direct):
Mn (0.000, 0.000, 0.000)
In (0.500, 0.500, 0.268)
In (0.500, 0.500, 0.732)
Co (0.000, 0.000, 0.500)